Record 1
A relaxed Th2Ge3Ir5 crystal. Source: Alexandria via LeMat-Bulk, functional PBE.

abc: 8.7401 8.7401 8.7401
angles: 112.46 80.82 141.03
Fractional coordinates of all 20 atoms:
Th: 0.1430 0.2285 0.3715
Th: 0.3570 0.7285 0.0855
Th: 0.6430 0.2715 0.9145
Th: 0.8570 0.7715 0.6285
Ge: 0.1041 0.6466 0.7507
Ge: 0.2500 0.2500 0.0000
Ge: 0.3959 0.1466 0.5425
Ge: 0.6041 0.8534 0.4575
Ge: 0.7500 0.7500 0.0000
Ge: 0.8959 0.3534 0.2493
Ir: 0.0345 0.7500 0.2845
Ir: 0.1318 0.8917 0.0235
Ir: 0.2500 0.7500 0.5000
Ir: 0.3682 0.3917 0.7599
Ir: 0.4655 0.7500 0.7155
Ir: 0.5345 0.2500 0.2845
Ir: 0.6318 0.6083 0.2401
Ir: 0.7500 0.2500 0.5000
Ir: 0.8682 0.1083 0.9765
Ir: 0.9655 0.2500 0.7155

Summary:
E_form: -699 kJ/mol of formula units
Density of states at the Fermi level: 0.71 states/eV per atom

=====

Record 2
A relaxed ScAg3Te crystal. Source: Alexandria via LeMat-Bulk, functional PBE.

abc: 5.2490 5.2490 5.2490
angles: 90.00 90.00 90.00
Fractional coordinates of all 5 atoms:
Sc: 0.0000 0.0000 0.0000
Ag: 0.0000 0.5000 0.5000
Ag: 0.5000 0.0000 0.5000
Ag: 0.5000 0.5000 0.0000
Te: 0.5000 0.5000 0.5000

Summary:
Density of states at the Fermi level: 1.04 states/eV per atom
Uncorrected formation energy: 643 meV/atom

=====

Record 3
A relaxed Y2Sb2P crystal. Source: Alexandria via LeMat-Bulk, functional PBE.

abc: 5.8434 5.8434 8.6504
angles: 90.00 90.00 90.00
Fractional coordinates of all 10 atoms:
Y: 0.0000 0.5000 0.2500
Y: 0.0000 0.5000 0.7500
Y: 0.5000 0.0000 0.2500
Y: 0.5000 0.0000 0.7500
Sb: 0.0000 0.0000 0.1707
Sb: 0.0000 0.0000 0.8293
Sb: 0.5000 0.5000 0.3293
Sb: 0.5000 0.5000 0.6707
P: 0.0000 0.0000 0.5000
P: 0.5000 0.5000 0.0000

Summary:
Density of states at the Fermi level: 0.26 states/eV per atom
Uncorrected formation energy: -451 meV/atom